Ac4PmTh3N8: optimized geometry, PBE.

extended XYZ file:
```
16
Lattice="3.7521 2.1663 6.2176 -3.7521 2.1663 6.2176 0.0000 -4.3326 6.2176" Properties=species:S:1:pos:R:3 pbc="T T T"
Ac 0.0000 0.0000 0.0000
Ac -1.8761 -1.0831 6.2176
Ac -1.8761 1.0831 12.4352
Ac 0.0000 2.1663 6.2176
Pm 0.0000 0.0000 9.3264
Th -3.7521 0.0000 9.3264
Th -1.8761 1.0831 3.1088
Th 1.8761 1.0831 3.1088
N -1.9155 -1.1059 10.6963
N 0.0000 0.0000 4.4512
N 0.0000 -2.2118 7.9566
N -1.9155 1.1059 7.9566
N 1.9155 -1.1059 10.6963
N 0.0000 2.2118 10.6963
N 0.0000 0.0000 14.2016
N 1.9155 1.1059 7.9566
```

For the uncorrected formation energy, the calculation gives -1.349 eV per atom. As for the total magnetic moment: 0.0 μB per formula unit. Its symmetry is R-3m, No. 166.